# 1
Ca2ScNi2 after structural relaxation, computed with PBE.

abc: 4.258 4.258 12.169
angles: 90.00 90.00 90.00
Space group I4/mmm (No. 139)
Unique sites:
Ca 0.000 0.500 0.250 (multiplicity 4)
Sc 0.000 0.000 0.000 (multiplicity 2)
Ni 0.000 0.000 0.409 (multiplicity 4)

The calculation puts the total energy at -20.9 eV/f.u.


# 2
Ca2In6NiIr after structural relaxation, computed with PBE.

abc: 10.159 10.159 10.159
angles: 90.00 90.00 90.00
Space group Fm-3m (No. 225)
Unique sites:
Ca 0.250 0.250 0.250 (multiplicity 8)
In 0.000 0.000 0.243 (multiplicity 24)
Ni 0.000 0.000 0.000 (multiplicity 4)
Ir 0.000 0.000 0.500 (multiplicity 4)

The calculation puts the total energy at -36.8 eV/f.u.


# 3
LaY3Ru after structural relaxation, computed with PBE.

abc: 13.428 14.569 6.325
angles: 90.00 100.39 90.00
Space group C2/c (No. 15)
Unique sites:
La 0.115 0.063 0.092 (multiplicity 8)
Y 0.104 0.201 0.554 (multiplicity 8)
Y 0.117 0.445 0.547 (multiplicity 8)
Y 0.165 0.321 0.074 (multiplicity 8)
Ru 0.000 0.327 0.250 (multiplicity 4)
Ru 0.000 0.331 0.750 (multiplicity 4)

The calculation puts the total energy at -34.3 eV/f.u.


# 4
TmScPtPb after structural relaxation, computed with PBE.

abc: 7.103 7.103 7.103
angles: 90.00 90.00 90.00
Space group F-43m (No. 216)
Unique sites:
Tm 0.000 0.000 0.000 (multiplicity 4)
Sc 0.000 0.000 0.500 (multiplicity 4)
Pt 0.250 0.250 0.750 (multiplicity 4)
Pb 0.250 0.250 0.250 (multiplicity 4)

The calculation puts the total energy at -23.4 eV/f.u.


# 5
Pr3SmHo2 after structural relaxation, computed with PBE.

abc: 13.366 3.568 17.898
angles: 90.00 102.39 90.00
Space group C2/m (No. 12)
Unique sites:
Pr 0.067 0.000 0.166 (multiplicity 4)
Pr 0.127 0.500 0.990 (multiplicity 4)
Pr 0.229 0.500 0.336 (multiplicity 4)
Sm 0.043 0.500 0.680 (multiplicity 4)
Ho 0.134 0.500 0.503 (multiplicity 4)
Ho 0.197 0.000 0.835 (multiplicity 4)

The calculation puts the total energy at -27.6 eV/f.u.


# 6
BiHF4 after structural relaxation, computed with PBE.

abc: 7.085 7.085 5.924
angles: 90.00 90.00 90.00
Space group I4_1/amd (No. 141, origin choice 2)
Unique sites:
Bi 0.000 0.250 0.375 (multiplicity 4)
H 0.000 0.250 0.875 (multiplicity 4)
F 0.000 0.077 0.716 (multiplicity 16)

The calculation puts the total energy at -26.2 eV/f.u.


no.,magnetization (μB per atom)
1,0.000
2,0.000
3,0.000
4,0.000
5,0.000
6,0.000